Below is crystalline Ba2AgIr at its relaxed geometry, with properties calculated at the PBE-GGA level.

```
Ba2AgIr
1.0
0.0000 3.7889 3.7889
3.7889 0.0000 3.7889
3.7889 3.7889 0.0000
Ba Ag Ir
2 1 1
Direct
0.0000 0.0000 0.0000
0.2500 0.2500 0.2500
0.5000 0.5000 0.5000
0.7500 0.7500 0.7500
```

Summary:
- E_tot (eV/atom) = -3.68
- offset from the most stable computed form (eV/f.u.) = 1.21
- ρ (g/cm³) = 8.77
- formation energy from the elements (eV per atom) = 0.2143
- symmetry = No. 216